DFT (PBE with a Hubbard U) results for a geometry-optimized K2CoO2 structure.

For the total magnetization, the calculation gives 2.99 μB/f.u. Its symmetry is Pnma, No. 62. The total energy comes out at -4.61 eV per atom. The calculated volume is 20.5 Å³ per atom.

```
20
Lattice="5.199 0.000 0.000 0.000 6.341 0.000 0.000 0.000 12.454" Properties=species:S:1:pos:R:3 pbc="T T T"
K 1.300 2.754 10.473
K 1.300 5.924 8.208
K 1.300 2.008 5.680
K 3.900 4.333 6.774
K 3.900 1.162 11.907
K 1.300 5.179 0.547
K 3.900 0.416 4.246
K 3.900 3.587 1.981
O 1.300 1.596 0.326
O 3.900 5.999 9.058
O 1.300 4.766 5.901
O 3.900 4.745 12.128
O 3.900 1.575 6.553
O 1.300 3.512 2.831
O 1.300 0.342 3.396
O 3.900 2.828 9.623
Co 3.900 4.693 10.345
Co 1.300 1.648 2.109
Co 1.300 4.819 4.118
Co 3.900 1.522 8.336
```